No. 1
{
  "formula": "UFeC2",
  "functional": "PBE-GGA",
  "state": "optimized geometry",
  "space_group": "I-42d (122)",
  "magnetic_moment_mub_per_atom": 0.10,
  "ef_ev_per_atom": 0.343,
  "n_ef_per_ev_fu": 5.56,
  "cell": [[-3.000, 2.750, 2.867], [0.551, 2.701, -4.145], [-1.908, -4.502, -0.935]],
  "species": ["U", "U", "Fe", "Fe", "C", "C", "C", "C"],
  "frac_coords": [[0.500, 0.500, 0.000], [0.250, 0.750, 0.500], [0.750, 0.250, 0.500], [0.000, 0.000, 0.000], [0.375, 0.303, 0.428], [0.053, 0.625, 0.928], [0.875, 0.947, 0.572], [0.697, 0.125, 0.072]]
}

=====

No. 2
{
  "formula": "TbPm5Nd6",
  "functional": "PBE-GGA",
  "state": "optimized geometry",
  "space_group": "C2/m (12)",
  "magnetic_moment_mub_per_atom": 0.00,
  "ef_ev_per_atom": 0.012,
  "n_ef_per_ev_fu": 17.92,
  "cell": [[0.256, 4.949, -11.063], [-4.601, -3.332, -2.817], [-5.990, 2.082, 0.183]],
  "species": ["Tb", "Pm", "Pm", "Pm", "Pm", "Pm", "Nd", "Nd", "Nd", "Nd", "Nd", "Nd"],
  "frac_coords": [[0.000, 0.000, 0.000], [0.500, 0.166, 0.667], [0.000, 0.333, 0.333], [0.500, 0.500, 0.000], [0.000, 0.667, 0.667], [0.500, 0.834, 0.333], [0.751, 0.083, 0.333], [0.249, 0.585, 0.333], [0.249, 0.250, 0.000], [0.751, 0.750, 0.000], [0.751, 0.415, 0.667], [0.249, 0.917, 0.667]]
}

=====

No. 3
{
  "formula": "Ti3GaPt",
  "functional": "PBE-GGA",
  "state": "optimized geometry",
  "space_group": "C2/c (15)",
  "magnetic_moment_mub_per_atom": 0.00,
  "ef_ev_per_atom": -0.413,
  "n_ef_per_ev_fu": 6.09,
  "cell": [[-2.781, -4.335, -0.359], [0.274, -2.080, 4.717], [-12.340, 2.513, 6.309]],
  "species": ["Ti", "Ti", "Ti", "Ti", "Ti", "Ti", "Ti", "Ti", "Ti", "Ti", "Ti", "Ti", "Ga", "Ga", "Ga", "Ga", "Pt", "Pt", "Pt", "Pt"],
  "frac_coords": [[0.811, 0.826, 0.844], [0.174, 0.189, 0.656], [0.189, 0.174, 0.156], [0.826, 0.811, 0.344], [0.809, 0.799, 0.643], [0.201, 0.191, 0.857], [0.191, 0.201, 0.357], [0.799, 0.809, 0.143], [0.253, 0.607, 0.965], [0.393, 0.747, 0.535], [0.607, 0.253, 0.465], [0.747, 0.393, 0.035], [0.000, 0.500, 0.500], [0.500, 0.000, 0.000], [0.692, 0.308, 0.250], [0.308, 0.692, 0.750], [0.714, 0.383, 0.832], [0.617, 0.286, 0.668], [0.286, 0.617, 0.168], [0.383, 0.714, 0.332]]
}

=====

No. 4
{
  "formula": "Pr7GaSe5",
  "functional": "PBE-GGA",
  "state": "optimized geometry",
  "space_group": "C2/m (12)",
  "magnetic_moment_mub_per_atom": 0.00,
  "e_form_raw_ev_per_fu": -19.51,
  "n_ef_per_ev_fu": 10.07,
  "cell": [[-2.382, 2.941, -1.817], [-3.822, -2.560, 5.717], [10.484, 17.669, 14.861]],
  "species": ["Pr", "Pr", "Pr", "Pr", "Pr", "Pr", "Pr", "Pr", "Pr", "Pr", "Pr", "Pr", "Pr", "Pr", "Ga", "Ga", "Se", "Se", "Se", "Se", "Se", "Se", "Se", "Se", "Se", "Se"],
  "frac_coords": [[0.470, 0.939, 0.250], [0.531, 0.062, 0.750], [0.639, 0.277, 0.037], [0.362, 0.724, 0.963], [0.362, 0.725, 0.537], [0.638, 0.276, 0.463], [0.193, 0.385, 0.180], [0.808, 0.616, 0.820], [0.810, 0.619, 0.679], [0.191, 0.382, 0.321], [0.912, 0.824, 0.112], [0.089, 0.177, 0.888], [0.090, 0.180, 0.613], [0.911, 0.821, 0.387], [0.810, 0.619, 0.251], [0.191, 0.382, 0.749], [0.000, 0.001, 0.000], [0.724, 0.448, 0.928], [0.277, 0.553, 0.072], [0.552, 0.105, 0.357], [0.448, 0.896, 0.643], [0.000, 0.000, 0.500], [0.276, 0.552, 0.428], [0.724, 0.449, 0.572], [0.447, 0.894, 0.857], [0.554, 0.108, 0.143]]
}